Entry 1:
Crystalline AcTbPrTl at its relaxed geometry. Source: the Alexandria database, functional GGA-PBE.

Properties
- Formation energy: 0.01 eV per atom
- Total magnetic moment: 0.00 μB/f.u.
- Calculated density: 9.3 g/cm3

a b c (Å): 5.7035 5.7035 5.7035
angles (deg): 60.00 60.00 60.00
Closest atoms and distances in Å follow each position.
Fractional coordinates of all 4 atoms:
Ac1 0.0000 0.0000 0.0000  4 Tb 3.49, 4 Pr 3.49
Tb1 0.7500 0.7500 0.7500  4 Ac 3.49, 4 Tl 3.49
Pr1 0.2500 0.2500 0.2500  4 Tl 3.49, 4 Ac 3.49
Tl1 0.5000 0.5000 0.5000  4 Tb 3.49, 4 Pr 3.49

Entry 2:
Crystalline AcTbPrTm2 at its relaxed geometry. Source: the Alexandria database, functional GGA-PBE.

Properties
- Formation energy: 0.05 eV per atom
- Total magnetic moment: 0.00 μB/f.u.
- Calculated density: 8.3 g/cm3

a b c (Å): 6.3940 5.8412 9.7596
angles (deg): 90.00 108.70 90.00
Closest atoms and distances in Å follow each position.
Fractional coordinates of all 10 atoms:
Ac1 0.0681 0.2500 0.3052  4 Tb 3.62-3.65, 5 Tm 3.66-3.74, 3 Pr 3.66-3.73
Ac2 0.9319 0.7500 0.6948  4 Tb 3.62-3.65, 5 Tm 3.66-3.74, 3 Pr 3.66-3.73
Tb1 0.3384 0.7500 0.5035  2 Tb 3.59, 5 Tm 3.62-3.84, 4 Ac 3.62-3.65, 1 Pr 3.75
Tb2 0.6616 0.2500 0.4965  2 Tb 3.59, 5 Tm 3.62-3.84, 4 Ac 3.62-3.65, 1 Pr 3.75
Pr1 0.1374 0.7500 0.0981  6 Tm 3.59-3.75, 2 Pr 3.62, 3 Ac 3.66-3.73, 1 Tb 3.75
Pr2 0.8626 0.2500 0.9019  6 Tm 3.59-3.75, 2 Pr 3.62, 3 Ac 3.66-3.73, 1 Tb 3.75
Tm1 0.2820 0.2500 0.7074  3 Tm 3.58-3.60, 2 Pr 3.59-3.75, 4 Tb 3.62-3.84, 3 Ac 3.66-3.72
Tm2 0.4662 0.2500 0.0964  5 Tm 3.58-3.60, 4 Pr 3.60-3.72, 1 Tb 3.70, 2 Ac 3.73-3.74
Tm3 0.5338 0.7500 0.9036  5 Tm 3.58-3.60, 4 Pr 3.60-3.72, 1 Tb 3.70, 2 Ac 3.73-3.74
Tm4 0.7180 0.7500 0.2926  3 Tm 3.58-3.60, 2 Pr 3.59-3.75, 4 Tb 3.62-3.84, 3 Ac 3.66-3.72

Entry 3:
Crystalline AcTbPr2Tm5 at its relaxed geometry. Source: the Alexandria database, functional GGA-PBE.

Properties
- Formation energy: 0.26 eV per atom
- Total magnetic moment: 0.00 μB/f.u.
- Calculated density: 8.3 g/cm3

a b c (Å): 9.9671 9.9671 9.9671
angles (deg): 127.60 127.60 77.28
Closest atoms and distances in Å follow each position.
Fractional coordinates of all 18 atoms:
Ac1 0.2500 0.2500 0.0000  10 Tm 3.63-3.89
Ac2 0.7500 0.7500 0.0000  10 Tm 3.63-3.89
Tb1 0.2500 0.7500 0.5000  4 Tm 3.16
Tb2 0.7500 0.2500 0.5000  4 Tm 3.16
Pr1 0.1172 0.6172 0.7344  1 Pr 2.92, 2 Tm 3.02
Pr2 0.3828 0.1172 0.5000  1 Pr 2.92, 2 Tm 3.02
Pr3 0.6172 0.8828 0.5000  1 Pr 2.92, 2 Tm 3.02
Pr4 0.8828 0.3828 0.2656  1 Pr 2.92, 2 Tm 3.02
Tm1 0.0000 0.0000 0.0000  4 Pr 3.52, 8 Tm 3.79, 2 Ac 3.89
Tm2 0.0739 0.1575 0.5000  1 Pr 3.02, 1 Tb 3.16
Tm3 0.1575 0.6575 0.0836  1 Pr 3.02, 1 Tb 3.16
Tm4 0.3425 0.4261 0.5000  1 Pr 3.02, 1 Tb 3.16
Tm5 0.4261 0.9261 0.0836  1 Pr 3.02, 1 Tb 3.16
Tm6 0.5000 0.5000 0.0000  4 Pr 3.52, 8 Tm 3.79, 2 Ac 3.89
Tm7 0.5739 0.0739 0.9164  1 Pr 3.02, 1 Tb 3.16
Tm8 0.6575 0.5739 0.5000  1 Pr 3.02, 1 Tb 3.16
Tm9 0.8425 0.3425 0.9164  1 Pr 3.02, 1 Tb 3.16
Tm10 0.9261 0.8425 0.5000  1 Pr 3.02, 1 Tb 3.16

Entry 4:
Crystalline AcTb2Pr4Tm at its relaxed geometry. Source: the Alexandria database, functional GGA-PBE.

Properties
- Formation energy: 0.11 eV per atom
- Total magnetic moment: 0.00 μB/f.u.
- Calculated density: 7.5 g/cm3

a b c (Å): 6.0203 6.0203 7.8237
angles (deg): 90.00 90.00 90.00
Closest atoms and distances in Å follow each position.
Fractional coordinates of all 8 atoms:
Ac1 0.0000 0.0000 0.0000  8 Pr 3.68, 2 Tb 3.91
Tb1 0.0000 0.0000 0.5000  8 Pr 3.50, 2 Ac 3.91
Tb2 0.5000 0.5000 0.0000  8 Pr 3.68, 2 Tm 3.91
Pr1 0.0000 0.5000 0.2708  2 Tm 3.50, 4 Tb 3.50-3.68, 1 Pr 3.59, 2 Ac 3.68
Pr2 0.0000 0.5000 0.7292  2 Tm 3.50, 4 Tb 3.50-3.68, 1 Pr 3.59, 2 Ac 3.68
Pr3 0.5000 0.0000 0.2708  2 Tm 3.50, 4 Tb 3.50-3.68, 1 Pr 3.59, 2 Ac 3.68
Pr4 0.5000 0.0000 0.7292  2 Tm 3.50, 4 Tb 3.50-3.68, 1 Pr 3.59, 2 Ac 3.68
Tm1 0.5000 0.5000 0.5000  8 Pr 3.50, 2 Tb 3.91

Question: Which of these has the lowest formation energy?
Answer: AcTbPrTl

What did the first record say?
Crystalline AcTbPrTl at its relaxed geometry. Source: the Alexandria database, functional GGA-PBE.

Properties
- Formation energy: 0.01 eV per atom
- Total magnetic moment: 0.00 μB/f.u.
- Calculated density: 9.3 g/cm3

a b c (Å): 5.7035 5.7035 5.7035
angles (deg): 60.00 60.00 60.00
Closest atoms and distances in Å follow each position.
Fractional coordinates of all 4 atoms:
Ac1 0.0000 0.0000 0.0000  4 Tb 3.49, 4 Pr 3.49
Tb1 0.7500 0.7500 0.7500  4 Ac 3.49, 4 Tl 3.49
Pr1 0.2500 0.2500 0.2500  4 Tl 3.49, 4 Ac 3.49
Tl1 0.5000 0.5000 0.5000  4 Tb 3.49, 4 Pr 3.49

Question: What is the formula in the first record?
Answer: AcTbPrTl